Material: KCu2NiPt
Method: DFT, PBE
State: relaxed

Summary:
* DOS(E_F): 0.538 states/eV per atom
* energy relative to the elements: 0.53 eV/atom
* SG: P4/mmm
* uncorrected energy: -3.688 eV/atom
* total magnetization: 0.653 μB per formula unit

Unit cell a=4.642 b=4.670 c=4.642 alpha=90.00 beta=90.00 gamma=90.00
Fractional coordinates of all 5 atoms:
Cu1 0.500 0.000 0.000
Ni1 0.000 0.000 0.000
K1 0.500 0.500 0.500
Pt1 0.000 0.500 0.000
Cu2 0.000 0.000 0.500

=====

Material: SrCd2Ga2
Method: DFT, PBE
State: relaxed

Summary:
* DOS(E_F): 0.495 states/eV per atom
* energy relative to the elements: -0.26 eV/atom
* SG: I4/mmm
* uncorrected energy: -2.175 eV/atom
* total magnetization: 0.000 μB per formula unit

Unit cell a=4.611 b=4.611 c=6.738 alpha=69.99 beta=69.99 gamma=90.00
Fractional coordinates of all 5 atoms:
Cd1 0.381 0.381 0.237
Ga1 0.250 0.750 0.500
Sr1 0.000 0.000 0.000
Ga2 0.750 0.250 0.500
Cd2 0.619 0.619 0.763

=====

Material: YTaTc2
Method: DFT, PBE
State: relaxed

Summary:
* DOS(E_F): 1.093 states/eV per atom
* energy relative to the elements: 0.16 eV/atom
* SG: P4mm
* uncorrected energy: -9.604 eV/atom
* total magnetization: 0.000 μB per formula unit

Unit cell a=3.153 b=3.153 c=7.606 alpha=90.00 beta=90.00 gamma=90.00
Fractional coordinates of all 4 atoms:
Tc1 0.500 0.500 0.197
Tc2 0.000 0.000 0.016
Ta1 0.500 0.500 0.798
Y1 0.000 0.000 0.489

=====

Material: LiFe2Si
Method: DFT, PBE
State: relaxed

Summary:
* DOS(E_F): 0.562 states/eV per atom
* SG: P4/mmm
* uncorrected energy: -6.173 eV/atom
* total magnetization: 4.076 μB per formula unit

Unit cell a=3.571 b=3.562 c=3.569 alpha=90.00 beta=90.00 gamma=90.00
Fractional coordinates of all 4 atoms:
Fe1 0.000 0.000 0.000
Fe2 0.500 0.500 0.000
Si1 0.000 0.500 0.500
Li1 0.500 0.000 0.500

=====

Material: Tb2U2Tc3
Method: DFT, PBE
State: relaxed

Summary:
* DOS(E_F): 1.424 states/eV per atom
* energy relative to the elements: -0.07 eV/atom
* SG: P2_1/c
* uncorrected energy: -9.062 eV/atom
* total magnetization: 1.273 μB per formula unit

Unit cell a=6.022 b=7.219 c=7.195 alpha=90.00 beta=94.84 gamma=90.00
Fractional coordinates of all 14 atoms:
Tc1 0.645 0.474 0.171
Tc2 0.645 0.026 0.671
U1 0.635 0.197 0.987
Tc3 0.355 0.974 0.329
Tb1 0.148 0.345 0.174
U2 0.365 0.803 0.013
Tc4 0.000 0.500 0.500
Tb2 0.852 0.845 0.326
Tc5 0.355 0.526 0.829
U3 0.635 0.303 0.487
Tb3 0.852 0.655 0.826
U4 0.365 0.697 0.513
Tc6 0.000 0.000 0.000
Tb4 0.148 0.155 0.674

=====

Material: PuPaCuRe
Method: DFT, PBE
State: relaxed

Summary:
* DOS(E_F): 2.500 states/eV per atom
* energy relative to the elements: 0.11 eV/atom
* SG: F-43m
* uncorrected energy: -9.982 eV/atom
* total magnetization: 5.598 μB per formula unit

Unit cell a=4.850 b=4.850 c=4.850 alpha=60.00 beta=60.00 gamma=60.00
Fractional coordinates of all 4 atoms:
Re1 0.250 0.250 0.250
Cu1 0.750 0.750 0.750
Pa1 0.000 0.000 0.000
Pu1 0.500 0.500 0.500

=====

Material: PrPa3Os2
Method: DFT, PBE
State: relaxed

Summary:
* DOS(E_F): 1.382 states/eV per atom
* energy relative to the elements: -0.10 eV/atom
* SG: C2/m
* uncorrected energy: -9.384 eV/atom
* total magnetization: 0.000 μB per formula unit

Unit cell a=4.922 b=9.051 c=7.884 alpha=115.21 beta=90.00 gamma=105.78
Fractional coordinates of all 12 atoms:
Pa1 0.034 0.068 0.320
Os1 0.174 0.348 0.675
Os2 0.826 0.652 0.325
Pa2 0.300 0.600 0.551
Pr1 0.834 0.668 0.940
Pa3 0.700 0.400 0.449
Os3 0.475 0.950 0.808
Pa4 0.966 0.932 0.680
Pa5 0.595 0.191 0.660
Os4 0.525 0.050 0.192
Pr2 0.166 0.332 0.060
Pa6 0.405 0.809 0.340

=====

Material: K2RbSb2
Method: DFT, PBE
State: relaxed

Summary:
* DOS(E_F): 0.624 states/eV per atom
* SG: P4/mbm
* uncorrected energy: -2.571 eV/atom
* total magnetization: 0.000 μB per formula unit

Unit cell a=10.589 b=10.589 c=3.401 alpha=90.00 beta=90.00 gamma=90.00
Fractional coordinates of all 10 atoms:
Sb1 0.822 0.322 0.500
Rb1 0.500 0.500 0.000
Sb2 0.678 0.822 0.500
Sb3 0.178 0.678 0.500
K1 0.381 0.881 0.000
Rb2 0.000 0.000 0.000
K2 0.619 0.119 0.000
K3 0.881 0.619 0.000
K4 0.119 0.381 0.000
Sb4 0.322 0.178 0.500

=====

Material: CuTcPb2O6
Method: DFT, PBE
State: relaxed

Summary:
* DOS(E_F): 0.258 states/eV per atom
* SG: P2_1/c
* uncorrected energy: -6.237 eV/atom
* total magnetization: 0.038 μB per formula unit

Unit cell a=5.284 b=5.311 c=9.762 alpha=90.00 beta=90.41 gamma=90.00
Fractional coordinates of all 20 atoms:
O1 0.217 0.800 0.437
O2 0.283 0.300 0.063
Cu1 0.500 0.000 0.000
O3 0.799 0.203 0.993
O4 0.201 0.797 0.007
Pb1 0.988 0.012 0.764
Cu2 0.000 0.500 0.500
Tc1 0.500 0.000 0.500
Pb2 0.012 0.988 0.236
Tc2 0.000 0.500 0.000
Pb3 0.488 0.488 0.264
O5 0.299 0.297 0.493
Pb4 0.512 0.512 0.736
O6 0.701 0.703 0.507
O7 0.089 0.440 0.806
O8 0.717 0.700 0.937
O9 0.411 0.940 0.694
O10 0.589 0.060 0.306
O11 0.911 0.560 0.194
O12 0.783 0.200 0.563

=====

Material: BaTe2ICl
Method: DFT, PBE
State: relaxed

Summary:
* DOS(E_F): 0.560 states/eV per atom
* SG: P4/mmm
* uncorrected energy: -2.891 eV/atom
* total magnetization: 0.000 μB per formula unit

Unit cell a=5.289 b=5.289 c=6.833 alpha=90.00 beta=90.00 gamma=90.00
Fractional coordinates of all 5 atoms:
Ba1 0.500 0.500 0.500
Te1 0.500 0.000 0.000
I1 0.000 0.000 0.500
Te2 0.000 0.500 0.000
Cl1 0.000 0.000 0.000

=====

Material: LiAcSn2Au
Method: DFT, PBE
State: relaxed

Summary:
* DOS(E_F): 0.338 states/eV per atom
* energy relative to the elements: -0.64 eV/atom
* SG: I-4m2
* uncorrected energy: -4.098 eV/atom
* total magnetization: 0.000 μB per formula unit

Unit cell a=4.646 b=4.646 c=6.732 alpha=110.18 beta=110.18 gamma=90.00
Fractional coordinates of all 5 atoms:
Li1 0.750 0.250 0.500
Au1 0.250 0.750 0.500
Sn1 0.622 0.622 0.244
Sn2 0.378 0.378 0.756
Ac1 0.000 0.000 0.000

=====

Material: Tl2CuNiCl6
Method: DFT, PBE
State: relaxed

Summary:
* DOS(E_F): 0.097 states/eV per atom
* SG: Fmmm
* uncorrected energy: -3.280 eV/atom
* total magnetization: 0.854 μB per formula unit

Unit cell a=7.016 b=7.016 c=7.012 alpha=57.57 beta=57.57 gamma=85.92
Fractional coordinates of all 10 atoms:
Tl1 0.750 0.250 0.500
Cl1 0.754 0.754 0.491
Tl2 0.250 0.750 0.500
Cl2 0.756 0.244 0.000
Ni1 0.500 0.500 0.000
Cl3 0.721 0.721 0.999
Cl4 0.279 0.279 0.001
Cl5 0.246 0.246 0.509
Cu1 0.000 0.000 0.000
Cl6 0.244 0.756 0.000

=====

Material: InFe2Ni2
Method: DFT, PBE
State: relaxed

Summary:
* DOS(E_F): 0.708 states/eV per atom
* energy relative to the elements: 0.19 eV/atom
* SG: I4/mmm
* uncorrected energy: -6.059 eV/atom
* total magnetization: 6.454 μB per formula unit

Unit cell a=3.606 b=3.606 c=6.034 alpha=72.62 beta=72.62 gamma=90.00
Fractional coordinates of all 5 atoms:
Fe1 0.750 0.250 0.500
Ni1 0.606 0.606 0.789
Ni2 0.394 0.394 0.211
In1 0.000 0.000 0.000
Fe2 0.250 0.750 0.500

=====

Material: Pr2PaTc2N6
Method: DFT, PBE
State: relaxed

Summary:
* DOS(E_F): 0.574 states/eV per atom
* SG: R-3m
* uncorrected energy: -8.873 eV/atom
* total magnetization: 0.000 μB per formula unit

Unit cell a=5.769 b=5.769 c=6.808 alpha=64.93 beta=64.93 gamma=60.00
Fractional coordinates of all 11 atoms:
Tc1 0.397 0.397 0.808
Tc2 0.603 0.603 0.192
Pr1 0.210 0.210 0.371
N1 0.253 0.777 0.717
Pr2 0.790 0.790 0.629
N2 0.777 0.253 0.717
N3 0.747 0.223 0.283
N4 0.223 0.747 0.283
N5 0.253 0.253 0.717
N6 0.747 0.747 0.283
Pa1 0.000 0.000 0.000

=====

Material: ThZnGaN
Method: DFT, PBE
State: relaxed

Summary:
* DOS(E_F): 0.400 states/eV per atom
* SG: P4/nmm
* uncorrected energy: -5.873 eV/atom
* total magnetization: 0.000 μB per formula unit

Unit cell a=4.251 b=4.251 c=8.237 alpha=90.00 beta=90.00 gamma=90.00
Fractional coordinates of all 8 atoms:
N1 0.000 0.000 0.000
N2 0.500 0.500 0.000
Th1 0.000 0.500 0.869
Th2 0.500 0.000 0.131
Ga1 0.000 0.500 0.328
Zn1 0.000 0.000 0.500
Ga2 0.500 0.000 0.672
Zn2 0.500 0.500 0.500

=====

Material: KAg4Sn4
Method: DFT, PBE
State: relaxed

Summary:
* DOS(E_F): 0.374 states/eV per atom
* energy relative to the elements: -0.01 eV/atom
* SG: P4_2/n
* uncorrected energy: -3.173 eV/atom
* total magnetization: 0.000 μB per formula unit

Unit cell a=5.637 b=9.525 c=9.525 alpha=90.00 beta=90.00 gamma=90.00
Fractional coordinates of all 18 atoms:
Sn1 0.412 0.626 0.126
Sn2 0.912 0.374 0.126
K1 0.500 0.500 0.500
Ag1 0.082 0.822 0.667
Ag2 0.918 0.333 0.822
Sn3 0.588 0.874 0.626
Ag3 0.582 0.833 0.322
Ag4 0.582 0.167 0.678
Sn4 0.588 0.126 0.374
Ag5 0.082 0.178 0.333
Ag6 0.418 0.322 0.167
Ag7 0.418 0.678 0.833
Sn5 0.088 0.126 0.626
K2 0.000 0.000 0.000
Ag8 0.918 0.667 0.178
Sn6 0.412 0.374 0.874
Sn7 0.912 0.626 0.874
Sn8 0.088 0.874 0.374

=====

Material: ZnSiSe2
Method: DFT, PBE
State: relaxed

Summary:
* DOS(E_F): 0.551 states/eV per atom
* SG: Cmmm
* uncorrected energy: -3.010 eV/atom
* total magnetization: 0.000 μB per formula unit

Unit cell a=2.866 b=2.866 c=10.481 alpha=90.00 beta=90.00 gamma=111.33
Fractional coordinates of all 4 atoms:
Zn1 0.500 0.500 0.750
Se1 0.000 0.000 0.036
Si1 0.500 0.500 0.250
Se2 0.000 0.000 0.464

=====

Material: LiDyAlZn
Method: DFT, PBE
State: relaxed

Summary:
* DOS(E_F): 0.374 states/eV per atom
* energy relative to the elements: -0.30 eV/atom
* SG: F-43m
* uncorrected energy: -3.179 eV/atom
* total magnetization: 0.000 μB per formula unit

Unit cell a=4.684 b=4.684 c=4.684 alpha=60.00 beta=60.00 gamma=60.00
Fractional coordinates of all 4 atoms:
Zn1 0.000 0.000 0.000
Al1 0.250 0.250 0.250
Dy1 0.750 0.750 0.750
Li1 0.500 0.500 0.500

=====

Material: PrCuPdAu
Method: DFT, PBE
State: relaxed

Summary:
* DOS(E_F): 0.804 states/eV per atom
* energy relative to the elements: -0.41 eV/atom
* SG: F-43m
* uncorrected energy: -4.750 eV/atom
* total magnetization: 0.000 μB per formula unit

Unit cell a=4.821 b=4.821 c=4.821 alpha=60.00 beta=60.00 gamma=60.00
Fractional coordinates of all 4 atoms:
Au1 0.500 0.500 0.500
Pd1 0.750 0.750 0.750
Cu1 0.250 0.250 0.250
Pr1 0.000 0.000 0.000

=====

Material: K3B2O4
Method: DFT, PBE
State: relaxed

Summary:
* DOS(E_F): 0.078 states/eV per atom
* SG: C2/m
* uncorrected energy: -5.688 eV/atom
* total magnetization: 0.000 μB per formula unit

Unit cell a=2.677 b=5.553 c=17.498 alpha=138.47 beta=90.00 gamma=103.95
Fractional coordinates of all 9 atoms:
K1 0.408 0.816 0.328
O1 0.107 0.214 0.832
O2 0.417 0.834 0.833
O3 0.583 0.166 0.167
B1 0.465 0.930 0.169
B2 0.535 0.070 0.831
K2 0.000 0.000 0.000
K3 0.592 0.184 0.672
O4 0.893 0.786 0.168

=====

Material: HfTiFeS2
Method: DFT, PBE
State: relaxed

Summary:
* DOS(E_F): 1.071 states/eV per atom
* SG: P4/mmm
* uncorrected energy: -6.422 eV/atom
* total magnetization: 3.196 μB per formula unit

Unit cell a=4.547 b=5.218 c=4.547 alpha=90.00 beta=90.00 gamma=90.00
Fractional coordinates of all 5 atoms:
S1 0.500 0.000 0.000
Hf1 0.000 0.500 0.000
S2 0.000 0.000 0.500
Ti1 0.000 0.000 0.000
Fe1 0.500 0.500 0.500

=====

Material: MnAg2Sb
Method: DFT, PBE
State: relaxed

Summary:
* DOS(E_F): 0.853 states/eV per atom
* SG: R-3m
* uncorrected energy: -4.410 eV/atom
* total magnetization: 3.900 μB per formula unit

Unit cell a=9.293 b=9.293 c=9.293 alpha=19.87 beta=19.87 gamma=19.87
Fractional coordinates of all 4 atoms:
Sb1 0.750 0.750 0.750
Ag1 0.993 0.993 0.993
Ag2 0.507 0.507 0.507
Mn1 0.250 0.250 0.250

=====

Material: Er4Ir2Au
Method: DFT, PBE
State: relaxed

Summary:
* DOS(E_F): 0.619 states/eV per atom
* energy relative to the elements: -0.83 eV/atom
* SG: R-3m
* uncorrected energy: -6.435 eV/atom
* total magnetization: 0.000 μB per formula unit

Unit cell a=4.850 b=4.850 c=8.341 alpha=73.10 beta=73.10 gamma=60.00
Fractional coordinates of all 7 atoms:
Ir1 0.250 0.250 0.250
Er1 0.128 0.128 0.615
Er2 0.872 0.872 0.385
Er3 0.379 0.379 0.863
Ir2 0.750 0.750 0.750
Au1 0.000 0.000 0.000
Er4 0.621 0.621 0.137

=====

Material: PrDy4Ho2Sc
Method: DFT, PBE
State: relaxed

Summary:
* DOS(E_F): 1.480 states/eV per atom
* energy relative to the elements: 0.02 eV/atom
* SG: P-1
* uncorrected energy: -4.814 eV/atom
* total magnetization: 0.000 μB per formula unit

Unit cell a=13.442 b=7.069 c=13.428 alpha=121.76 beta=149.48 gamma=74.67
Fractional coordinates of all 16 atoms:
Sc1 0.000 0.500 0.000
Ho1 0.500 0.000 0.500
Ho2 0.500 0.000 0.000
Dy1 0.834 0.419 0.086
Pr1 0.000 0.000 0.000
Dy2 0.331 0.421 0.586
Pr2 0.500 0.500 0.500
Dy3 0.166 0.581 0.914
Ho3 0.500 0.500 0.000
Dy4 0.331 0.916 0.581
Dy5 0.669 0.084 0.419
Ho4 0.000 0.000 0.500
Dy6 0.669 0.579 0.414
Dy7 0.834 0.920 0.087
Sc2 0.000 0.500 0.500
Dy8 0.166 0.080 0.913

=====

Material: LiSbSe2
Method: DFT, PBE
State: relaxed

Summary:
* DOS(E_F): 0.006 states/eV per atom
* SG: R3m
* uncorrected energy: -3.845 eV/atom
* total magnetization: 0.000 μB per formula unit

Unit cell a=4.033 b=4.033 c=7.355 alpha=74.09 beta=74.09 gamma=60.00
Fractional coordinates of all 4 atoms:
Sb1 0.668 0.668 0.995
Se1 0.086 0.086 0.741
Se2 0.255 0.255 0.236
Li1 0.491 0.491 0.528